A plane-wave DFT calculation with GGA-PBE was carried out for a relaxed structure of ThPRu2N.

It has space group Cmcm (No. 63), with a = 3.6948 Å, b = 11.6460 Å, c = 7.0672 Å, α = 90.00°, β = 90.00° and γ = 90.00°. The inequivalent atoms are Th at (0.0000, 0.0387, 0.2500), P at (0.0000, 0.2304, 0.7500), Ru at (0.0000, 0.3295, 0.0521) and N at (0.0000, 0.5000, 0.0000).

As for the uncorrected formation energy: -0.82 eV/atom.

A plane-wave DFT calculation with GGA-PBE was carried out for a relaxed structure of ScIBr3.

It has space group P4mm (No. 99), with a = 4.6349 Å, b = 4.6349 Å, c = 9.0657 Å, α = 90.00°, β = 90.00° and γ = 90.00°. The inequivalent atoms are Sc at (0.0000, 0.0000, 0.0000), I at (0.5000, 0.5000, 0.1992), Br at (0.0000, 0.5000, 0.8598) and Br at (0.5000, 0.5000, 0.5213).

For the offset from the most stable computed form, the calculation gives 303.9 kJ/mol of formula units. As for the uncorrected formation energy: -0.71 eV/atom.

A plane-wave DFT calculation with GGA-PBE was carried out for a relaxed structure of NaTmRe2O8.

It has space group P-3m1 (No. 164), with a = 5.9451 Å, b = 5.9451 Å, c = 6.8079 Å, α = 90.00°, β = 90.00° and γ = 120.00°. The inequivalent atoms are Na at (0.0000, 0.0000, 0.0000), Tm at (0.0000, 0.0000, 0.5000), Re at (0.3333, 0.6667, 0.7913), O at (0.1668, 0.3337, 0.7040) and O at (0.3333, 0.6667, 0.0496).

As for the uncorrected formation energy: -1.97 eV/atom.